No. 1
# CsReTc3 SCAN single point on PBEsol structure
data_CsReTc3
_cell_length_a 4.8155
_cell_length_b 4.8155
_cell_length_c 4.8155
_cell_angle_alpha 90.00
_cell_angle_beta 90.00
_cell_angle_gamma 90.00
_symmetry_space_group_name_H-M 'P m -3 m'
_symmetry_Int_Tables_number 221
_symmetry_space_group_name_Hall '-P 4 2 3'
loop_
_atom_site_label
_atom_site_fract_x
_atom_site_fract_y
_atom_site_fract_z
Cs1 0.0000 0.0000 0.0000
Re1 0.5000 0.5000 0.5000
Tc1 0.0000 0.5000 0.5000
# - volume (Å³/f.u.) = 111.7
# - DOS at the Fermi energy (states/eV/atom) = 0.89
# - excess energy over the best structure of this formula in the dataset (meV per atom) = 0
# - formation energy (eV/atom) = 1.77

---

No. 2
# CsReTc3 SCAN single point on PBEsol structure
data_CsReTc3
_cell_length_a 4.6990
_cell_length_b 4.6990
_cell_length_c 4.6990
_cell_angle_alpha 90.00
_cell_angle_beta 90.00
_cell_angle_gamma 90.00
_symmetry_space_group_name_H-M 'P m -3 m'
_symmetry_Int_Tables_number 221
_symmetry_space_group_name_Hall '-P 4 2 3'
loop_
_atom_site_label
_atom_site_fract_x
_atom_site_fract_y
_atom_site_fract_z
Cs1 0.0000 0.0000 0.0000
Re1 0.5000 0.5000 0.5000
Tc1 0.0000 0.0000 0.5000
# - volume (Å³/f.u.) = 103.8
# - DOS at the Fermi energy (states/eV/atom) = 0.80
# - excess energy over the best structure of this formula in the dataset (meV per atom) = 2126
# - formation energy (eV/atom) = 3.89

---

No. 3
# CsTi2Re SCAN single point on PBEsol structure
data_CsTi2Re
_cell_length_a 6.6567
_cell_length_b 6.6567
_cell_length_c 6.6567
_cell_angle_alpha 90.00
_cell_angle_beta 90.00
_cell_angle_gamma 90.00
_symmetry_space_group_name_H-M 'F m -3 m'
_symmetry_Int_Tables_number 225
_symmetry_space_group_name_Hall '-F 4 2 3'
loop_
_atom_site_label
_atom_site_fract_x
_atom_site_fract_y
_atom_site_fract_z
Cs1 0.0000 0.0000 0.0000
Ti1 0.2500 0.2500 0.2500
Re1 0.0000 0.0000 0.5000
# - volume (Å³/f.u.) = 73.7
# - DOS at the Fermi energy (states/eV/atom) = 1.62
# - formation energy (eV/atom) = 1.42

---

No. 4
# Cs3TiRe SCAN single point on PBEsol structure
data_Cs3TiRe
_cell_length_a 6.5522
_cell_length_b 6.5522
_cell_length_c 6.5522
_cell_angle_alpha 90.00
_cell_angle_beta 90.00
_cell_angle_gamma 90.00
_symmetry_space_group_name_H-M 'P m -3 m'
_symmetry_Int_Tables_number 221
_symmetry_space_group_name_Hall '-P 4 2 3'
loop_
_atom_site_label
_atom_site_fract_x
_atom_site_fract_y
_atom_site_fract_z
Cs1 0.0000 0.0000 0.5000
Ti1 0.0000 0.0000 0.0000
Re1 0.5000 0.5000 0.5000
# - volume (Å³/f.u.) = 281.3
# - DOS at the Fermi energy (states/eV/atom) = 1.91
# - formation energy (eV/atom) = 2.20

---

No. 5
# CsTiRe3 SCAN single point on PBEsol structure
data_CsTiRe3
_cell_length_a 4.7684
_cell_length_b 4.7684
_cell_length_c 4.7684
_cell_angle_alpha 90.00
_cell_angle_beta 90.00
_cell_angle_gamma 90.00
_symmetry_space_group_name_H-M 'P m -3 m'
_symmetry_Int_Tables_number 221
_symmetry_space_group_name_Hall '-P 4 2 3'
loop_
_atom_site_label
_atom_site_fract_x
_atom_site_fract_y
_atom_site_fract_z
Cs1 0.0000 0.0000 0.0000
Ti1 0.5000 0.5000 0.5000
Re1 0.0000 0.5000 0.5000
# - volume (Å³/f.u.) = 108.4
# - DOS at the Fermi energy (states/eV/atom) = 0.82
# - formation energy (eV/atom) = 2.39

---

No. 6
# Cs2TiRe SCAN single point on PBEsol structure
data_Cs2TiRe
_cell_length_a 7.6346
_cell_length_b 7.6346
_cell_length_c 7.6346
_cell_angle_alpha 90.00
_cell_angle_beta 90.00
_cell_angle_gamma 90.00
_symmetry_space_group_name_H-M 'F m -3 m'
_symmetry_Int_Tables_number 225
_symmetry_space_group_name_Hall '-F 4 2 3'
loop_
_atom_site_label
_atom_site_fract_x
_atom_site_fract_y
_atom_site_fract_z
Cs1 0.2500 0.2500 0.2500
Ti1 0.0000 0.0000 0.0000
Re1 0.0000 0.0000 0.5000
# - volume (Å³/f.u.) = 111.2
# - DOS at the Fermi energy (states/eV/atom) = 0.77
# - formation energy (eV/atom) = 2.33